# 1
! MgAl2ReH (meta-GGA SCAN, PBEsol geometry); values from VASP
! size of the total moment: 0.000 μB per atom
! electronic total energy: -18.4900 eV per atom
! volume: 83.5 Å³/cell
! density of states at the Fermi level: 2.3 states/eV/f.u.
! symmetry: P4/mmm
&SYSTEM
  ibrav = 0, nat = 5, ntyp = 4
/
ATOMIC_SPECIES
Re 186.21 Re.upf
Mg 24.30 Mg.upf
Al 26.98 Al.upf
H 1.01 H.upf
ATOMIC_POSITIONS angstrom
Re 0.000 0.000 0.000
Mg 1.808 2.403 2.403
Al 0.000 0.000 2.403
Al 0.000 2.403 0.000
H 1.808 0.000 0.000
CELL_PARAMETERS angstrom
3.616 0.000 0.000
0.000 4.805 0.000
0.000 0.000 4.805

***

# 2
! KCl (meta-GGA SCAN, PBEsol geometry); values from VASP
! formation energy without anion corrections: -210.6 kJ/mol of atoms
! size of the total moment: 0.000 μB per atom
! volume: 60.6 Å³/cell
! density of states at the Fermi level: 0.0 states/eV/f.u.
! symmetry: Fm-3m
&SYSTEM
  ibrav = 0, nat = 2, ntyp = 2
/
ATOMIC_SPECIES
K 39.10 K.upf
Cl 35.45 Cl.upf
ATOMIC_POSITIONS angstrom
K 0.000 0.000 0.000
Cl -3.555 -1.510 3.772
CELL_PARAMETERS angstrom
-3.032 -3.008 1.089
-0.483 -1.220 4.208
-3.595 1.208 2.246

***

# 3
! Co2W (meta-GGA SCAN, PBEsol geometry); values from VASP
! size of the total moment: 0.346 μB per atom
! ΔH_f (0 K): 18.9 kJ per mole of atoms
! volume: 70.6 Å³/cell
! density of states at the Fermi level: 2.7 states/eV/f.u.
! symmetry: Cmcm
&SYSTEM
  ibrav = 0, nat = 6, ntyp = 2
/
ATOMIC_SPECIES
Co 58.93 Co.upf
W 183.84 W.upf
ATOMIC_POSITIONS angstrom
Co 0.000 1.022 2.932
Co 0.000 3.066 5.821
Co 1.314 1.022 0.752
Co 1.314 3.066 3.641
W 1.314 1.022 5.116
W 0.000 3.066 1.457
CELL_PARAMETERS angstrom
2.629 0.000 0.000
0.000 4.088 0.000
-1.314 0.000 6.573

***

# 4
! LiTi2P2O9 (meta-GGA SCAN, PBEsol geometry); values from VASP
! formation energy without anion corrections: -272.5 kJ/mol of atoms
! size of the total moment: 0.072 μB per atom
! volume: 666.1 Å³/cell
! density of states at the Fermi level: 2.7 states/eV/f.u.
! symmetry: Pnma
&SYSTEM
  ibrav = 0, nat = 56, ntyp = 4
/
ATOMIC_SPECIES
Li 6.94 Li.upf
Ti 47.87 Ti.upf
P 30.97 P.upf
O 16.00 O.upf
ATOMIC_POSITIONS angstrom
Li 4.735 7.202 10.788
Li 4.735 4.118 3.797
Li 1.578 3.429 10.184
Li 1.578 0.344 3.193
Ti 4.735 2.670 12.277
Ti 1.578 4.877 1.704
Ti 1.578 6.443 8.695
Ti 4.735 1.104 5.286
Ti 3.157 0.000 0.000
Ti 3.157 3.773 6.991
Ti 0.000 3.773 6.991
Ti 0.000 0.000 0.000
P 1.578 2.718 13.024
P 4.735 4.829 0.957
P 4.735 6.491 7.947
P 1.578 1.055 6.034
P 4.735 2.870 9.645
P 4.735 0.903 2.655
P 1.578 6.644 11.326
P 1.578 4.676 4.336
O 0.297 4.575 5.205
O 3.454 2.971 8.776
O 6.016 0.802 1.786
O 2.859 6.745 12.195
O 6.016 2.971 8.776
O 2.859 4.575 5.205
O 0.297 6.745 12.195
O 3.454 0.802 1.786
O 1.578 2.489 6.666
O 4.735 5.057 7.315
O 4.735 6.263 0.324
O 1.578 1.284 13.657
O 4.735 1.040 13.197
O 1.578 6.506 0.784
O 1.578 4.814 7.774
O 4.735 2.733 6.207
O 4.735 1.575 10.502
O 1.578 5.972 3.479
O 1.578 5.348 10.470
O 4.735 2.198 3.511
O 2.791 0.927 5.116
O 5.947 6.619 8.865
O 3.522 4.701 1.875
O 0.366 2.846 12.106
O 3.522 6.619 8.865
O 0.366 0.927 5.116
O 2.791 2.846 12.106
O 5.947 4.701 1.875
O 4.735 3.813 13.809
O 1.578 0.198 10.244
O 1.578 3.576 3.254
O 4.735 3.971 10.727
O 4.735 7.507 6.818
O 1.578 0.040 7.163
O 1.578 3.734 0.172
O 4.735 7.349 3.737
CELL_PARAMETERS angstrom
6.313 0.000 0.000
0.000 7.547 0.000
0.000 0.000 13.981

***

# 5
! Cd2BiPb (meta-GGA SCAN, PBEsol geometry); values from VASP
! size of the total moment: 0.000 μB per atom
! ΔH_f (0 K): 13.6 kJ per mole of atoms
! volume: 104.5 Å³/cell
! density of states at the Fermi level: 2.0 states/eV/f.u.
! symmetry: Fm-3m
&SYSTEM
  ibrav = 0, nat = 4, ntyp = 3
/
ATOMIC_SPECIES
Pb 207.20 Pb.upf
Bi 208.98 Bi.upf
Cd 112.41 Cd.upf
ATOMIC_POSITIONS angstrom
Pb 0.000 0.000 0.000
Bi -4.107 -3.399 3.678
Cd -2.053 -1.699 1.839
Cd -6.160 -5.098 5.517
CELL_PARAMETERS angstrom
-4.715 -2.390 0.129
-0.632 -4.452 2.783
-2.865 0.044 4.444

***

# 6
! FeCoSi2 (meta-GGA SCAN, PBEsol geometry); values from VASP
! formation energy without anion corrections: -18.9 kJ/mol of atoms
! size of the total moment: 0.220 μB per atom
! volume: 43.1 Å³/cell
! density of states at the Fermi level: 2.0 states/eV/f.u.
! symmetry: C2/m
&SYSTEM
  ibrav = 0, nat = 4, ntyp = 3
/
ATOMIC_SPECIES
Co 58.93 Co.upf
Fe 55.84 Fe.upf
Si 28.09 Si.upf
ATOMIC_POSITIONS angstrom
Co 0.000 -0.468 2.218
Fe 1.308 0.000 0.000
Si 1.308 1.157 3.346
Si 0.000 1.618 1.096
CELL_PARAMETERS angstrom
2.616 0.000 0.000
-1.308 3.712 0.006
0.000 -0.936 4.436

***

# 7
! TlAsSe2 (meta-GGA SCAN, PBEsol geometry); values from VASP
! formation energy without anion corrections: -23.4 kJ/mol of atoms
! size of the total moment: 0.000 μB per atom
! volume: 398.1 Å³/cell
! symmetry: P2_1
&SYSTEM
  ibrav = 0, nat = 16, ntyp = 3
/
ATOMIC_SPECIES
Tl 204.38 Tl.upf
As 74.92 As.upf
Se 78.96 Se.upf
ATOMIC_POSITIONS angstrom
Tl 0.974 5.426 1.590
Tl 0.959 -0.679 4.120
Tl 2.922 0.057 9.911
Tl 2.907 6.162 7.381
As 0.977 1.143 1.175
As 2.925 4.340 10.326
As 0.956 3.832 4.536
As 2.904 1.652 6.965
Se 0.972 -2.437 10.335
Se 2.910 1.879 4.534
Se 0.962 3.604 6.967
Se 2.911 5.643 4.415
Se 2.921 2.866 1.405
Se 0.962 -0.160 7.086
Se 2.920 7.920 1.166
Se 0.972 2.617 10.096
CELL_PARAMETERS angstrom
3.896 0.000 0.000
0.000 8.847 -0.077
0.000 -3.364 11.578

***

# 8
! Fe2SnC (meta-GGA SCAN, PBEsol geometry); values from VASP
! size of the total moment: 0.000 μB per atom
! ΔH_f (0 K): 157.3 kJ per mole of atoms
! volume: 45.8 Å³/cell
! density of states at the Fermi level: 1.6 states/eV/f.u.
! symmetry: Fm-3m
&SYSTEM
  ibrav = 0, nat = 4, ntyp = 3
/
ATOMIC_SPECIES
C 12.01 C.upf
Sn 118.71 Sn.upf
Fe 55.84 Fe.upf
ATOMIC_POSITIONS angstrom
C 0.000 0.000 0.000
Sn 1.307 -3.515 3.185
Fe 0.654 -1.758 1.592
Fe 1.961 -5.273 4.777
CELL_PARAMETERS angstrom
-0.066 -3.949 0.737
3.098 -1.747 1.867
-0.417 -1.334 3.766

***

# 9
! NaNbBi2W (meta-GGA SCAN, PBEsol geometry); values from VASP
! size of the total moment: 1.156 μB per atom
! ΔH_f (0 K): 215.9 kJ per mole of atoms
! volume: 124.8 Å³/cell
! density of states at the Fermi level: 5.1 states/eV/f.u.
! symmetry: P4/mmm
&SYSTEM
  ibrav = 0, nat = 5, ntyp = 4
/
ATOMIC_SPECIES
Na 22.99 Na.upf
Nb 92.91 Nb.upf
Bi 208.98 Bi.upf
W 183.84 W.upf
ATOMIC_POSITIONS angstrom
Na 0.000 0.000 0.000
Nb 2.400 0.000 0.000
Bi 0.000 0.000 2.550
Bi 0.000 2.550 0.000
W 2.400 2.550 2.550
CELL_PARAMETERS angstrom
4.799 0.000 0.000
0.000 5.099 0.000
0.000 0.000 5.099

***

# 10
! Sr2LiCa (meta-GGA SCAN, PBEsol geometry); values from VASP
! size of the total moment: 0.066 μB per atom
! ΔH_f (0 K): 6.1 kJ per mole of atoms
! volume: 169.1 Å³/cell
! density of states at the Fermi level: 3.9 states/eV/f.u.
! symmetry: P4/mmm
&SYSTEM
  ibrav = 0, nat = 4, ntyp = 3
/
ATOMIC_SPECIES
Sr 87.62 Sr.upf
Ca 40.08 Ca.upf
Li 6.94 Li.upf
ATOMIC_POSITIONS angstrom
Sr -1.502 2.123 1.677
Sr -1.555 -2.247 1.452
Ca -4.636 -0.025 1.590
Li -1.579 0.099 -1.539
CELL_PARAMETERS angstrom
-3.157 0.198 -3.077
-3.111 -4.494 2.903
-3.004 4.246 3.355

***

# 11
! Li2YMg (meta-GGA SCAN, PBEsol geometry); values from VASP
! size of the total moment: 0.062 μB per atom
! ΔH_f (0 K): 1.5 kJ per mole of atoms
! volume: 91.4 Å³/cell
! density of states at the Fermi level: 3.3 states/eV/f.u.
! symmetry: P4mm
&SYSTEM
  ibrav = 0, nat = 4, ntyp = 3
/
ATOMIC_SPECIES
Y 88.91 Y.upf
Mg 24.30 Mg.upf
Li 6.94 Li.upf
ATOMIC_POSITIONS angstrom
Y -2.723 3.475 4.322
Mg -0.174 2.357 2.580
Li -0.015 0.198 0.217
Li -2.530 0.869 1.469
CELL_PARAMETERS angstrom
-2.790 1.453 -1.516
-2.092 -2.133 1.807
-0.374 5.053 5.531

***

# 12
! BaCaSc2 (meta-GGA SCAN, PBEsol geometry); values from VASP
! size of the total moment: 0.310 μB per atom
! ΔH_f (0 K): 39.0 kJ per mole of atoms
! volume: 133.4 Å³/cell
! density of states at the Fermi level: 6.4 states/eV/f.u.
! symmetry: P4/mmm
&SYSTEM
  ibrav = 0, nat = 4, ntyp = 3
/
ATOMIC_SPECIES
Sc 44.96 Sc.upf
Ca 40.08 Ca.upf
Ba 137.33 Ba.upf
ATOMIC_POSITIONS angstrom
Sc 0.000 0.000 5.858
Sc 0.000 0.000 2.386
Ca 2.012 2.012 4.122
Ba 2.012 2.012 0.000
CELL_PARAMETERS angstrom
4.024 0.000 0.000
0.000 4.024 0.000
0.000 0.000 8.243